Compound: Mg6MnCdO8
Source: Alexandria
Functional: GGA+U
Structure: optimized geometry

Results
**E_tot**: -0.433 Ry per atom
**Polymorph energy (0 for the lowest one)**: 0.0 kJ/mol of atoms

a = 4.391 Å, b = 4.391 Å, c = 8.751 Å
α = 90.00°, β = 90.00°, γ = 90.00°
Space group P4/mmm (No. 123)
Unique sites:
Mg (0.000, 0.000, 0.000) [1 per cell]
Mg (0.000, 0.500, 0.241) [4 per cell]
Mg (0.500, 0.500, 0.000) [1 per cell]
Mn (0.000, 0.000, 0.500) [1 per cell]
Cd (0.500, 0.500, 0.500) [1 per cell]
O (0.000, 0.000, 0.242) [2 per cell]
O (0.000, 0.500, 0.000) [2 per cell]
O (0.000, 0.500, 0.500) [2 per cell]
O (0.500, 0.500, 0.233) [2 per cell]


Compound: Mg2MnCdO4
Source: Alexandria
Functional: GGA+U
Structure: optimized geometry

Results
**E_tot**: -0.417 Ry per atom
**D(E_F)**: 1.05 states/eV/f.u.

a = 3.055 Å, b = 10.998 Å, c = 11.833 Å
α = 90.00°, β = 90.00°, γ = 90.00°
Space group Cmcm (No. 63)
Unique sites:
Mg (0.000, 0.130, 0.031) [8 per cell]
Mn (0.000, 0.277, 0.750) [4 per cell]
Cd (0.000, 0.444, 0.250) [4 per cell]
O (0.000, 0.096, 0.250) [4 per cell]
O (0.000, 0.258, 0.595) [8 per cell]
O (0.000, 0.500, 0.000) [4 per cell]


Compound: MgMnCd2O4
Source: Alexandria
Functional: GGA+U
Structure: optimized geometry

Results
**E_tot**: -0.397 Ry per atom
**D(E_F)**: 0.72 states/eV/f.u.

a = 6.479 Å, b = 6.511 Å, c = 9.191 Å
α = 90.00°, β = 90.00°, γ = 90.00°
Space group Imma (No. 74)
Unique sites:
Mg (0.250, 0.250, 0.250) [4 per cell]
Mn (0.000, 0.000, 0.000) [4 per cell]
Cd (0.000, 0.000, 0.500) [4 per cell]
Cd (0.250, 0.250, 0.750) [4 per cell]
O (0.000, 0.021, 0.244) [8 per cell]
O (0.236, 0.250, 0.012) [8 per cell]


Compound: Mg6MnCdO8
Source: Alexandria
Functional: GGA+U
Structure: optimized geometry

Results
**E_tot**: -0.432 Ry per atom
**Polymorph energy (0 for the lowest one)**: 1.3 kJ/mol of atoms

a = 4.393 Å, b = 4.393 Å, c = 8.771 Å
α = 90.00°, β = 90.00°, γ = 90.00°
Space group P4/mmm (No. 123)
Unique sites:
Mg (0.000, 0.000, 0.000) [1 per cell]
Mg (0.000, 0.000, 0.500) [1 per cell]
Mg (0.000, 0.500, 0.246) [4 per cell]
Mn (0.500, 0.500, 0.000) [1 per cell]
Cd (0.500, 0.500, 0.500) [1 per cell]
O (0.000, 0.000, 0.250) [2 per cell]
O (0.000, 0.500, 0.000) [2 per cell]
O (0.000, 0.500, 0.500) [2 per cell]
O (0.500, 0.500, 0.240) [2 per cell]


- Number 2 is which compound?
  Mg2MnCdO4


- Which of these has the highest E_tot?
  MgMnCd2O4


- What is the E_tot in the first record?
  -0.433 Ry per atom